Computed, not measured: an optimized crystal structure of CsMoO3 at the GGA+U level of DFT.

Cell and atoms, written as extended XYZ:
```
10
Lattice="1.792 -8.438 0.000 1.792 8.438 0.000 0.000 0.000 5.462" Properties=species:S:1:pos:R:3 pbc="T T T"
Cs 1.792 5.445 4.097
Cs 1.792 -5.445 1.366
Mo 1.792 0.599 4.097
Mo 1.792 -0.599 1.366
O 0.000 0.000 0.000
O 0.000 0.000 2.731
O 0.714 2.384 4.097
O 0.714 -2.384 1.366
O 2.870 2.384 4.097
O 2.870 -2.384 1.366
```

Computed properties:
DOS at the Fermi energy   0.0 states/eV per cell
Total magnetization   1.000 μB/f.u.
E   -0.1949 hartree per atom